[1]
# HgRhN2, relaxed, DFT PBE-GGA
# N(E_F) = 12.325 states/eV per cell
# Energy relative to the elements, uncorrected = 0.995 eV per atom
# VASP energy = -81.302 eV/cell
# Density = 9.0 g/cm³
data_HgRhN2
_cell_length_a 5.263
_cell_length_b 5.263
_cell_length_c 8.851
_cell_angle_alpha 90.00
_cell_angle_beta 90.00
_cell_angle_gamma 90.00
_symmetry_space_group_name_H-M 'I -4 2 d'
_symmetry_Int_Tables_number 122
_symmetry_space_group_name_Hall 'I -4 2bw'
loop_
_atom_site_label
_atom_site_type_symbol
_atom_site_fract_x
_atom_site_fract_y
_atom_site_fract_z
_atom_site_occupancy
Hg1 Hg 0.000 0.000 0.000 1
Rh1 Rh 0.000 0.000 0.500 1
N1 N 0.173 0.250 0.625 1

***

[2]
# Pm5Ho3Tm2, relaxed, DFT PBE-GGA
# N(E_F) = 69.999 states/eV per cell
# VASP energy = -178.320 eV/cell
# Density = 7.8 g/cm³
# Energy of formation = 0.185 eV/atom
data_Pm5Ho3Tm2
_cell_length_a 10.651
_cell_length_b 14.936
_cell_length_c 9.907
_cell_angle_alpha 90.00
_cell_angle_beta 122.49
_cell_angle_gamma 90.00
_symmetry_space_group_name_H-M 'C 1 2/c 1'
_symmetry_Int_Tables_number 15
loop_
_symmetry_equiv_pos_as_xyz
'x,y,z'
'-x,-y,-z'
'-x,y,-z+1/2'
'x,-y,z+1/2'
'x+1/2,y+1/2,z'
'-x+1/2,-y+1/2,-z'
'-x+1/2,y+1/2,-z+1/2'
'x+1/2,-y+1/2,z+1/2'
loop_
_atom_site_label
_atom_site_type_symbol
_atom_site_fract_x
_atom_site_fract_y
_atom_site_fract_z
_atom_site_occupancy
Pm1 Pm 0.000 0.019 0.250 1
Pm2 Pm 0.000 0.228 0.250 1
Pm3 Pm 0.000 0.478 0.750 1
Pm4 Pm 0.245 0.369 0.236 1
Ho1 Ho 0.000 0.274 0.750 1
Ho2 Ho 0.156 0.375 0.556 1
Tm1 Tm 0.150 0.129 0.055 1

***

[3]
# La2BeHPt6, relaxed, DFT PBE-GGA
# N(E_F) = 3.879 states/eV per cell
# VASP energy = -61.272 eV/cell
# Density = 14.2 g/cm³
data_La2BeHPt6
_cell_length_a 5.782
_cell_length_b 5.793
_cell_length_c 6.751
_cell_angle_alpha 90.22
_cell_angle_beta 115.25
_cell_angle_gamma 119.90
_symmetry_space_group_name_H-M 'P -1'
_symmetry_Int_Tables_number 2
loop_
_symmetry_equiv_pos_as_xyz
'x,y,z'
'-x,-y,-z'
loop_
_atom_site_label
_atom_site_type_symbol
_atom_site_fract_x
_atom_site_fract_y
_atom_site_fract_z
_atom_site_occupancy
La1 La 0.049 0.274 0.325 1
Be1 Be 0.500 0.000 0.500 1
H1 H 0.500 0.500 0.000 1
Pt1 Pt 0.026 0.264 0.799 1
Pt2 Pt 0.463 0.225 0.201 1
Pt3 Pt 0.464 0.736 0.202 1

***

[4]
# SrLiCaNi, relaxed, DFT PBE-GGA
# N(E_F) = 14.763 states/eV per cell
# VASP energy = -44.059 eV/cell
# Density = 3.1 g/cm³
# Energy of formation = 0.091 eV/atom
data_SrLiCaNi
_cell_length_a 7.460
_cell_length_b 7.460
_cell_length_c 7.460
_cell_angle_alpha 90.00
_cell_angle_beta 90.00
_cell_angle_gamma 90.00
_symmetry_space_group_name_H-M 'F -4 3 m'
_symmetry_Int_Tables_number 216
_symmetry_space_group_name_Hall 'F -4 2 3'
loop_
_atom_site_label
_atom_site_type_symbol
_atom_site_fract_x
_atom_site_fract_y
_atom_site_fract_z
_atom_site_occupancy
Sr1 Sr 0.000 0.000 0.000 1
Li1 Li 0.250 0.250 0.250 1
Ca1 Ca 0.000 0.000 0.500 1
Ni1 Ni 0.250 0.250 0.750 1

***

[5]
# BaZn3Rh, relaxed, DFT PBE-GGA
# N(E_F) = 19.671 states/eV per cell
# Energy above the most stable polymorph in this dataset = 522 meV per atom
# VASP energy = -73.614 eV/cell
# Density = 5.7 g/cm³
# Energy of formation = 0.165 eV/atom
data_BaZn3Rh
_cell_length_a 8.7210
_cell_length_b 8.7210
_cell_length_c 11.5403
_cell_angle_alpha 90.00
_cell_angle_beta 90.00
_cell_angle_gamma 120.00
_symmetry_space_group_name_H-M 'R -3 c'
_symmetry_Int_Tables_number 167
_symmetry_space_group_name_Hall '-R 3 2"c'
loop_
_atom_site_label
_atom_site_type_symbol
_atom_site_fract_x
_atom_site_fract_y
_atom_site_fract_z
_atom_site_occupancy
Ba1 Ba 0.0000 0.0000 0.0000 1
Zn1 Zn 0.0000 0.2802 0.2500 1
Rh1 Rh 0.0000 0.0000 0.2500 1

***

[6]
# Nb2InMoSe, relaxed, DFT PBE-GGA
# N(E_F) = 9.036 states/eV per cell
# Energy relative to the elements, uncorrected = 2.043 eV per atom
# VASP energy = -26.981 eV/cell
# Density = 6.3 g/cm³
data_Nb2InMoSe
_cell_length_a 5.063
_cell_length_b 5.063
_cell_length_c 4.925
_cell_angle_alpha 90.00
_cell_angle_beta 90.00
_cell_angle_gamma 90.00
_symmetry_space_group_name_H-M 'P 4/m m m'
_symmetry_Int_Tables_number 123
_symmetry_space_group_name_Hall '-P 4 2'
loop_
_atom_site_label
_atom_site_type_symbol
_atom_site_fract_x
_atom_site_fract_y
_atom_site_fract_z
_atom_site_occupancy
Nb1 Nb 0.000 0.500 0.000 1
In1 In 0.000 0.000 0.000 1
Mo1 Mo 0.000 0.000 0.500 1
Se1 Se 0.500 0.500 0.500 1

***

[7]
# Pr2Ag3Hg, relaxed, DFT PBE-GGA
# N(E_F) = 6.311 states/eV per cell
# Energy above the most stable polymorph in this dataset = 85 meV per atom
# VASP energy = -39.578 eV/cell
# Density = 8.5 g/cm³
# Energy of formation = -0.229 eV/atom
data_Pr2Ag3Hg
_cell_length_a 4.109
_cell_length_b 4.197
_cell_length_c 18.325
_cell_angle_alpha 90.00
_cell_angle_beta 90.00
_cell_angle_gamma 90.00
_symmetry_space_group_name_H-M 'I m m 2'
_symmetry_Int_Tables_number 44
loop_
_symmetry_equiv_pos_as_xyz
'x,y,z'
'-x,-y,z'
'-x,y,z'
'x,-y,z'
'x+1/2,y+1/2,z+1/2'
'-x+1/2,-y+1/2,z+1/2'
'-x+1/2,y+1/2,z+1/2'
'x+1/2,-y+1/2,z+1/2'
loop_
_atom_site_label
_atom_site_type_symbol
_atom_site_fract_x
_atom_site_fract_y
_atom_site_fract_z
_atom_site_occupancy
Pr1 Pr 0.000 0.000 0.000 1
Pr2 Pr 0.000 0.500 0.237 1
Ag1 Ag 0.000 0.000 0.571 1
Ag2 Ag 0.000 0.500 0.664 1
Ag3 Ag 0.000 0.500 0.814 1
Hg1 Hg 0.000 0.000 0.415 1

***

[8]
# Tc3TeF, relaxed, DFT PBE-GGA
# N(E_F) = 8.143 states/eV per cell
# Energy relative to the elements, uncorrected = 0.966 eV per atom
# Energy above the most stable polymorph in this dataset = 0 meV per atom
# VASP energy = -31.282 eV/cell
# Density = 9.2 g/cm³
data_Tc3TeF
_cell_length_a 4.297
_cell_length_b 4.297
_cell_length_c 4.297
_cell_angle_alpha 90.00
_cell_angle_beta 90.00
_cell_angle_gamma 90.00
_symmetry_space_group_name_H-M 'P m -3 m'
_symmetry_Int_Tables_number 221
_symmetry_space_group_name_Hall '-P 4 2 3'
loop_
_atom_site_label
_atom_site_type_symbol
_atom_site_fract_x
_atom_site_fract_y
_atom_site_fract_z
_atom_site_occupancy
Tc1 Tc 0.000 0.000 0.500 1
Te1 Te 0.500 0.500 0.500 1
F1 F 0.000 0.000 0.000 1

***

[9]
# SbMo, relaxed, DFT PBE-GGA
# N(E_F) = 11.321 states/eV per cell
# Energy relative to the elements, uncorrected = 0.407 eV per atom
# VASP energy = -84.834 eV/cell
# Density = 7.9 g/cm³
data_SbMo
_cell_length_a 4.316
_cell_length_b 9.420
_cell_length_c 6.743
_cell_angle_alpha 90.00
_cell_angle_beta 90.00
_cell_angle_gamma 90.00
_symmetry_space_group_name_H-M 'P m m n'
_symmetry_Int_Tables_number 59
loop_
_symmetry_equiv_pos_as_xyz
'x,y,z'
'-x,-y,-z'
'-x+1/2,-y+1/2,z'
'x+1/2,y+1/2,-z'
'x+1/2,-y,-z'
'-x+1/2,y,z'
'-x,y+1/2,-z'
'x,-y+1/2,z'
loop_
_atom_site_label
_atom_site_type_symbol
_atom_site_fract_x
_atom_site_fract_y
_atom_site_fract_z
_atom_site_occupancy
Sb1 Sb 0.250 0.078 0.179 1
Sb2 Sb 0.250 0.750 0.426 1
Mo1 Mo 0.250 0.033 0.605 1
Mo2 Mo 0.250 0.250 0.835 1

***

[10]
# Sm3Ga8Rh3, relaxed, DFT PBE-GGA
# N(E_F) = 11.093 states/eV per cell
# Energy above the most stable polymorph in this dataset = 0 meV per atom
# VASP energy = -140.991 eV/cell
# Density = 8.4 g/cm³
# Energy of formation = -0.719 eV/atom
data_Sm3Ga8Rh3
_cell_length_a 15.745
_cell_length_b 4.416
_cell_length_c 8.884
_cell_angle_alpha 90.00
_cell_angle_beta 122.51
_cell_angle_gamma 90.00
_symmetry_space_group_name_H-M 'C 1 2/m 1'
_symmetry_Int_Tables_number 12
loop_
_symmetry_equiv_pos_as_xyz
'x,y,z'
'-x,-y,-z'
'-x,y,-z'
'x,-y,z'
'x+1/2,y+1/2,z'
'-x+1/2,-y+1/2,-z'
'-x+1/2,y+1/2,-z'
'x+1/2,-y+1/2,z'
loop_
_atom_site_label
_atom_site_type_symbol
_atom_site_fract_x
_atom_site_fract_y
_atom_site_fract_z
_atom_site_occupancy
Sm1 Sm 0.000 0.000 0.000 1
Sm2 Sm 0.210 0.500 0.693 1
Ga1 Ga 0.008 0.500 0.683 1
Ga2 Ga 0.134 0.000 0.420 1
Ga3 Ga 0.141 0.000 0.845 1
Ga4 Ga 0.149 0.500 0.267 1
Rh1 Rh 0.000 0.000 0.500 1
Rh2 Rh 0.169 0.500 0.003 1

***

[11]
# AlAuI2O, relaxed, DFT PBE-GGA
# N(E_F) = 5.984 states/eV per cell
# Energy relative to the elements, uncorrected = 0.241 eV per atom
# Energy above the most stable polymorph in this dataset = 832 meV per atom
# VASP energy = -13.874 eV/cell
# Density = 6.0 g/cm³
data_AlAuI2O
_cell_length_a 5.829
_cell_length_b 5.829
_cell_length_c 4.021
_cell_angle_alpha 90.00
_cell_angle_beta 90.00
_cell_angle_gamma 90.00
_symmetry_space_group_name_H-M 'P 4/m m m'
_symmetry_Int_Tables_number 123
_symmetry_space_group_name_Hall '-P 4 2'
loop_
_atom_site_label
_atom_site_type_symbol
_atom_site_fract_x
_atom_site_fract_y
_atom_site_fract_z
_atom_site_occupancy
Al1 Al 0.000 0.000 0.000 1
Au1 Au 0.500 0.500 0.500 1
I1 I 0.000 0.500 0.500 1
O1 O 0.500 0.500 0.000 1

***

[12]
# YInSe2, relaxed, DFT PBE-GGA
# N(E_F) = 2.435 states/eV per cell
# Energy relative to the elements, uncorrected = -0.905 eV per atom
# VASP energy = -39.581 eV/cell
# Density = 6.2 g/cm³
data_YInSe2
_cell_length_a 4.185
_cell_length_b 4.185
_cell_length_c 11.001
_cell_angle_alpha 90.00
_cell_angle_beta 90.00
_cell_angle_gamma 90.00
_symmetry_space_group_name_H-M 'I -4 m 2'
_symmetry_Int_Tables_number 119
_symmetry_space_group_name_Hall 'I -4 -2'
loop_
_atom_site_label
_atom_site_type_symbol
_atom_site_fract_x
_atom_site_fract_y
_atom_site_fract_z
_atom_site_occupancy
Y1 Y 0.000 0.000 0.000 1
In1 In 0.000 0.500 0.250 1
Se1 Se 0.000 0.000 0.500 1
Se2 Se 0.000 0.500 0.750 1